A plane-wave DFT calculation with GGA+U was carried out for an optimized crystal structure of FeW2O.

Cell: 6.6631 6.6631 6.6631 Å, 139.57 139.57 58.50°
Closest atoms and distances in Å follow each position.
Element x y z (fractional)
Fe1 0.0000 0.0000 0.0000  4 W 2.33
Fe2 0.7500 0.2500 0.5000  4 W 2.33
W1 0.1809 0.6250 0.0559  2 O 2.06
W2 0.3750 0.4309 0.5559  2 O 2.06
W3 0.5691 0.1250 0.9441  2 O 2.06
W4 0.8750 0.8191 0.4441  2 O 2.06
O1 0.2500 0.7500 0.5000  4 W 2.06
O2 0.5000 0.5000 0.0000  4 W 2.06

Values from the calculation:
**Total magnetization**: 0.0 μB per cell
**Raw total energy**: -37.8 eV for the cell shown